# 1
! TbAl2Pd6, relaxed, DFT PBE; values from VASP
&SYSTEM
  ibrav = 0, nat = 18, ntyp = 3
/
ATOMIC_SPECIES
Pd 106.42 Pd.upf
Al 26.98 Al.upf
Tb 158.93 Tb.upf
CELL_PARAMETERS angstrom
7.944 0.000 0.000
3.972 6.879 0.000
3.972 2.293 6.486
ATOMIC_POSITIONS crystal
Pd 0.996 0.996 0.504
Pd 0.746 0.746 0.254
Pd 0.504 0.996 0.996
Pd 0.254 0.746 0.254
Pd 0.504 0.996 0.504
Pd 0.746 0.254 0.254
Pd 0.504 0.504 0.996
Pd 0.254 0.254 0.746
Pd 0.996 0.504 0.996
Pd 0.254 0.746 0.746
Pd 0.996 0.504 0.504
Pd 0.746 0.254 0.746
Al 0.125 0.125 0.625
Al 0.125 0.125 0.125
Al 0.125 0.625 0.125
Al 0.625 0.125 0.125
Tb 0.750 0.750 0.750
Tb 0.500 0.500 0.500
! Crystal system   cubic
! Density of states at the Fermi level   4.59 states/eV/cell
! Formation energy   -404 meV/atom

***

# 2
! RbBeB2, relaxed, DFT PBE; values from VASP
&SYSTEM
  ibrav = 0, nat = 8, ntyp = 3
/
ATOMIC_SPECIES
B 10.81 B.upf
Rb 85.47 Rb.upf
Be 9.01 Be.upf
CELL_PARAMETERS angstrom
-2.957 2.199 1.661
0.622 -3.171 3.956
7.912 6.754 1.163
ATOMIC_POSITIONS crystal
B 0.361 0.378 0.500
B 0.639 0.622 0.500
B 0.831 0.915 0.500
B 0.169 0.085 0.500
Rb 0.635 0.144 0.786
Rb 0.365 0.856 0.214
Be 0.837 0.303 0.500
Be 0.163 0.697 0.500
! Crystal system   triclinic
! Density of states at the Fermi level   2.48 states/eV/cell
! Formation energy   168 meV/atom

***

# 3
! TlBiPb2, relaxed, DFT PBE; values from VASP
&SYSTEM
  ibrav = 0, nat = 4, ntyp = 3
/
ATOMIC_SPECIES
Tl 204.38 Tl.upf
Bi 208.98 Bi.upf
Pb 207.20 Pb.upf
CELL_PARAMETERS angstrom
-2.521 0.072 -4.000
4.025 -2.004 -2.573
-1.734 -4.776 1.007
ATOMIC_POSITIONS crystal
Tl 0.500 0.000 0.000
Bi 0.500 0.500 0.500
Pb 0.000 0.500 0.000
Pb 0.000 0.000 0.500
! Crystal system   tetragonal
! Density of states at the Fermi level   1.65 states/eV/cell
! Formation energy   -6 meV/atom

***

# 4
! TbTh3Te4, relaxed, DFT PBE; values from VASP
&SYSTEM
  ibrav = 0, nat = 8, ntyp = 3
/
ATOMIC_SPECIES
Th 232.04 Th.upf
Te 127.60 Te.upf
Tb 158.93 Tb.upf
CELL_PARAMETERS angstrom
-1.663 4.021 0.618
-7.103 -3.005 0.427
3.055 0.173 7.093
ATOMIC_POSITIONS crystal
Th 0.000 0.000 0.500
Th 0.500 0.500 0.500
Th 0.000 0.500 0.000
Te 0.500 0.755 0.245
Te 0.500 0.245 0.755
Te 0.000 0.242 0.242
Te 0.000 0.758 0.758
Tb 0.500 0.000 0.000
! Crystal system   orthorhombic
! Density of states at the Fermi level   6.64 states/eV/cell
! Formation energy (no corrections)   -1.08 eV/atom

***

# 5
! Pb4BrCl, relaxed, DFT PBE; values from VASP
&SYSTEM
  ibrav = 0, nat = 6, ntyp = 3
/
ATOMIC_SPECIES
Pb 207.20 Pb.upf
Cl 35.45 Cl.upf
Br 79.90 Br.upf
CELL_PARAMETERS angstrom
-3.077 -5.708 -0.573
-6.425 -0.145 -1.040
-2.319 -1.881 -5.785
ATOMIC_POSITIONS crystal
Pb 0.375 0.375 0.375
Pb 0.876 0.375 0.375
Pb 0.375 0.876 0.375
Pb 0.375 0.375 0.876
Cl 0.000 0.000 0.000
Br 0.750 0.750 0.750
! Crystal system   cubic
! Density of states at the Fermi level   6.45 states/eV/cell
! Formation energy (no corrections)   -0.02 eV/atom

***

# 6
! LaLu2Ag, relaxed, DFT PBE; values from VASP
&SYSTEM
  ibrav = 0, nat = 4, ntyp = 3
/
ATOMIC_SPECIES
Lu 174.97 Lu.upf
La 138.91 La.upf
Ag 107.87 Ag.upf
CELL_PARAMETERS angstrom
-1.681 -0.244 -4.622
-1.994 -4.220 0.948
-4.008 2.196 1.341
ATOMIC_POSITIONS crystal
Lu 0.000 0.000 0.500
Lu 0.000 0.500 0.000
La 0.500 0.500 0.500
Ag 0.500 0.000 0.000
! Crystal system   tetragonal
! Density of states at the Fermi level   5.79 states/eV/cell
! Formation energy   28 meV/atom

***

# 7
! KScC, relaxed, DFT PBE; values from VASP
&SYSTEM
  ibrav = 0, nat = 6, ntyp = 3
/
ATOMIC_SPECIES
C 12.01 C.upf
K 39.10 K.upf
Sc 44.96 Sc.upf
CELL_PARAMETERS angstrom
3.205 -1.851 0.000
0.000 3.701 0.000
0.000 0.000 12.627
ATOMIC_POSITIONS crystal
C 0.667 0.333 0.040
C 0.333 0.667 0.540
K 0.000 0.000 0.714
K 0.000 0.000 0.214
Sc 0.667 0.333 0.497
Sc 0.333 0.667 0.997
! Crystal system   hexagonal
! Density of states at the Fermi level   4.45 states/eV/cell
! Formation energy   429 meV/atom

***

# 8
! HfNbP2, relaxed, DFT PBE; values from VASP
&SYSTEM
  ibrav = 0, nat = 4, ntyp = 3
/
ATOMIC_SPECIES
P 30.97 P.upf
Hf 178.49 Hf.upf
Nb 92.91 Nb.upf
CELL_PARAMETERS angstrom
-2.927 2.001 0.351
-2.099 -0.397 2.852
1.650 4.863 4.117
ATOMIC_POSITIONS crystal
P 0.086 0.086 0.742
P 0.248 0.248 0.255
Hf 0.671 0.671 0.988
Nb 0.495 0.495 0.515
! Crystal system   trigonal
! Density of states at the Fermi level   2.71 states/eV/cell
! Formation energy   -1019 meV/atom

***

# 9
! La2InAs, relaxed, DFT PBE; values from VASP
&SYSTEM
  ibrav = 0, nat = 4, ntyp = 3
/
ATOMIC_SPECIES
As 74.92 As.upf
La 138.91 La.upf
In 114.82 In.upf
CELL_PARAMETERS angstrom
-1.868 3.699 0.986
-2.462 1.976 -2.861
-8.032 -2.203 2.226
ATOMIC_POSITIONS crystal
As 0.750 0.750 0.750
La 0.012 0.012 0.964
La 0.488 0.488 0.536
In 0.250 0.250 0.250
! Crystal system   trigonal
! Density of states at the Fermi level   2.25 states/eV/cell
! Formation energy   -934 meV/atom

***

# 10
! Ca2PaInS6, relaxed, DFT PBE; values from VASP
&SYSTEM
  ibrav = 0, nat = 10, ntyp = 4
/
ATOMIC_SPECIES
Pa 231.04 Pa.upf
Ca 40.08 Ca.upf
S 32.06 S.upf
In 114.82 In.upf
CELL_PARAMETERS angstrom
5.567 0.000 0.000
0.000 7.085 0.000
0.000 0.000 7.085
ATOMIC_POSITIONS crystal
Pa 0.655 0.500 0.500
Ca 0.983 0.500 0.000
Ca 0.983 0.000 0.500
S 0.155 0.000 0.000
S 0.185 0.500 0.500
S 0.727 0.246 0.754
S 0.727 0.754 0.754
S 0.727 0.246 0.246
S 0.727 0.754 0.246
In 0.580 0.000 0.000
! Crystal system   tetragonal
! Formation energy (no corrections)   -1.29 eV/atom

***

# 11
! MgSi2Ge2, relaxed, DFT PBE; values from VASP
&SYSTEM
  ibrav = 0, nat = 10, ntyp = 3
/
ATOMIC_SPECIES
Si 28.09 Si.upf
Ge 72.64 Ge.upf
Mg 24.30 Mg.upf
CELL_PARAMETERS angstrom
7.099 0.000 0.000
0.000 7.099 0.000
0.000 0.000 3.610
ATOMIC_POSITIONS crystal
Si 0.624 0.124 0.000
Si 0.124 0.376 0.000
Si 0.376 0.876 0.000
Si 0.876 0.624 0.000
Ge 0.666 0.834 0.500
Ge 0.334 0.166 0.500
Ge 0.834 0.334 0.500
Ge 0.166 0.666 0.500
Mg 0.500 0.500 0.000
Mg 0.000 0.000 0.000
! Crystal system   tetragonal
! Density of states at the Fermi level   3.03 states/eV/cell
! Formation energy (no corrections)   0.24 eV/atom

***

# 12
! Ho3Tl3CrSe8, relaxed, DFT PBE; values from VASP
&SYSTEM
  ibrav = 0, nat = 15, ntyp = 4
/
ATOMIC_SPECIES
Ho 164.93 Ho.upf
Tl 204.38 Tl.upf
Cr 52.00 Cr.upf
Se 78.96 Se.upf
CELL_PARAMETERS angstrom
8.103 0.000 0.000
-4.052 7.018 -0.029
0.000 -4.647 7.739
ATOMIC_POSITIONS crystal
Ho 0.000 0.500 0.500
Ho 0.500 0.500 0.500
Ho 0.500 0.000 0.500
Tl 0.500 0.500 0.000
Tl 0.000 0.500 0.000
Tl 0.000 0.000 0.000
Cr 0.000 0.000 0.500
Se 0.217 0.976 0.693
Se 0.736 0.472 0.709
Se 0.783 0.566 0.307
Se 0.759 0.976 0.693
Se 0.217 0.434 0.693
Se 0.783 0.024 0.307
Se 0.241 0.024 0.307
Se 0.264 0.528 0.291
! Crystal system   trigonal
! Density of states at the Fermi level   6.75 states/eV/cell
! Formation energy (no corrections)   -1.14 eV/atom

***

# 13
! AcInPt3Au, relaxed, DFT PBE; values from VASP
&SYSTEM
  ibrav = 0, nat = 12, ntyp = 4
/
ATOMIC_SPECIES
In 114.82 In.upf
Au 196.97 Au.upf
Ac 227.00 Ac.upf
Pt 195.08 Pt.upf
CELL_PARAMETERS angstrom
-4.503 4.809 -4.022
-4.026 -4.307 -0.642
-0.705 3.925 5.483
ATOMIC_POSITIONS crystal
In 0.250 0.370 0.740
In 0.750 0.630 0.260
Au 0.750 0.086 0.171
Au 0.250 0.914 0.829
Ac 0.250 0.667 0.333
Ac 0.750 0.333 0.667
Pt 0.250 0.150 0.301
Pt 0.000 0.735 0.000
Pt 0.000 0.265 0.000
Pt 0.500 0.735 0.000
Pt 0.500 0.265 0.000
Pt 0.750 0.850 0.699
! Crystal system   orthorhombic
! Density of states at the Fermi level   3.60 states/eV/cell
! Formation energy   -500 meV/atom

***

# 14
! LaGdYMg, relaxed, DFT PBE; values from VASP
&SYSTEM
  ibrav = 0, nat = 4, ntyp = 4
/
ATOMIC_SPECIES
Y 88.91 Y.upf
Mg 24.30 Mg.upf
La 138.91 La.upf
Gd 157.25 Gd.upf
CELL_PARAMETERS angstrom
-3.616 0.865 4.221
-3.804 -3.935 1.295
0.499 -2.930 4.775
ATOMIC_POSITIONS crystal
Y 0.750 0.750 0.750
Mg 0.000 0.000 0.000
La 0.250 0.250 0.250
Gd 0.500 0.500 0.500
! Crystal system   cubic
! Density of states at the Fermi level   7.25 states/eV/cell
! Formation energy   32 meV/atom

***

# 15
! BaZn2Rh2, relaxed, DFT PBE; values from VASP
&SYSTEM
  ibrav = 0, nat = 10, ntyp = 3
/
ATOMIC_SPECIES
Zn 65.41 Zn.upf
Rh 102.91 Rh.upf
Ba 137.33 Ba.upf
CELL_PARAMETERS angstrom
-1.081 6.506 4.172
-5.945 -3.392 3.749
1.928 -1.038 2.118
ATOMIC_POSITIONS crystal
Zn 0.378 0.878 0.000
Zn 0.878 0.622 0.000
Zn 0.622 0.122 0.000
Zn 0.122 0.378 0.000
Rh 0.162 0.662 0.500
Rh 0.838 0.338 0.500
Rh 0.662 0.838 0.500
Rh 0.338 0.162 0.500
Ba 0.000 0.000 0.000
Ba 0.500 0.500 0.000
! Crystal system   tetragonal
! Density of states at the Fermi level   3.47 states/eV/cell
! Formation energy   -128 meV/atom

***

# 16
! ScTcOs2, relaxed, DFT PBE; values from VASP
&SYSTEM
  ibrav = 0, nat = 4, ntyp = 3
/
ATOMIC_SPECIES
Sc 44.96 Sc.upf
Os 190.23 Os.upf
Tc 98.00 Tc.upf
CELL_PARAMETERS angstrom
4.740 -0.002 0.000
-1.271 4.567 0.000
0.000 0.000 2.856
ATOMIC_POSITIONS crystal
Sc 0.500 0.000 0.500
Os 0.000 0.000 0.000
Os 0.500 0.500 0.000
Tc 0.000 0.500 0.500
! Crystal system   orthorhombic
! Density of states at the Fermi level   4.35 states/eV/cell
! Formation energy   35 meV/atom